# 1
HgAs2Se2 | SCAN | single point on PBEsol structure

abc: 3.4123 8.1801 8.1801
angles: 90.00 90.00 90.00
With the nearest neighbours (Å) after each atom.
Element x y z (fractional)
As 0.5000 0.1358 0.6358  2 Se 2.46
As 0.5000 0.6358 0.8642  2 Se 2.46
As 0.5000 0.8642 0.3642  2 Se 2.46
As 0.5000 0.3642 0.1358  2 Se 2.46
Hg 0.0000 0.0000 0.0000  4 Se 2.93
Hg 0.0000 0.5000 0.5000  4 Se 2.93
Se 0.0000 0.2891 0.7891  2 As 2.46
Se 0.0000 0.7891 0.7109  2 As 2.46
Se 0.0000 0.7109 0.2109  2 As 2.46
Se 0.0000 0.2109 0.2891  2 As 2.46

Results
SG	P4/mbm (127)
formation energy (no corrections)	305	meV/atom

***

# 2
Mg2ScTa | SCAN | single point on PBEsol structure

abc: 2.9916 2.9916 10.6412
angles: 81.92 81.92 60.00
With the nearest neighbours (Å) after each atom.
Element x y z (fractional)
Mg 0.2533 0.2533 0.2401  6 Mg 2.99, 3 Ta 3.06, 3 Sc 3.23
Mg 0.7467 0.7467 0.7599  6 Mg 2.99, 3 Ta 3.06, 3 Sc 3.23
Sc 0.5000 0.5000 0.5000  6 Sc 2.99, 6 Mg 3.23
Ta 0.0000 0.0000 0.0000  6 Ta 2.99, 6 Mg 3.06

Results
SG	R-3m (166)
energy of formation from the pure elements	0.26	eV per atom

***

# 3
Sr2TcPO | SCAN | single point on PBEsol structure

abc: 3.9051 5.0441 5.0441
angles: 90.00 90.00 90.00
With the nearest neighbours (Å) after each atom.
Element x y z (fractional)
Sr 0.0000 0.0000 0.5000  2 O 2.52
Sr 0.0000 0.5000 0.0000  2 O 2.52
Tc 0.5000 0.0000 0.0000  2 O 1.95
O 0.0000 0.0000 0.0000  2 Tc 1.95
P 0.5000 0.5000 0.5000  8 Sr 3.19, 4 Tc 3.57

Results
SG	P4/mmm (123)
formation energy (no corrections)	-901	meV/atom

***

# 4
BaZn2Cd | SCAN | single point on PBEsol structure

abc: 4.5471 4.5593 6.3397
angles: 111.01 90.00 119.91
With the nearest neighbours (Å) after each atom.
Element x y z (fractional)
Zn 0.6969 0.3939 0.5900  3 Cd 2.68, 3 Zn 2.82-2.84
Zn 0.3031 0.6061 0.4100  3 Cd 2.68, 3 Zn 2.82-2.84
Ba 0.5000 0.0000 0.0000  8 Zn 3.41-3.54
Cd 0.0000 0.0000 0.5000  6 Zn 2.68

Results
SG	C2/m (12)
energy of formation from the pure elements	-0.23	eV per atom

***

# 5
AlRe2Hg | SCAN | single point on PBEsol structure

abc: 2.8017 2.8017 9.3524
angles: 81.39 81.39 60.00
With the nearest neighbours (Å) after each atom.
Element x y z (fractional)
Re 0.2442 0.2442 0.2673  3 Al 2.69, 6 Re 2.80, 3 Hg 2.95
Re 0.7558 0.7558 0.7327  3 Al 2.69, 6 Re 2.80, 3 Hg 2.95
Hg 0.0000 0.0000 0.0000  6 Hg 2.80, 6 Re 2.95
Al 0.5000 0.5000 0.5000  6 Re 2.69, 6 Al 2.80

Results
SG	R-3m (166)
energy of formation from the pure elements	0.40	eV per atom

***

# 6
LaHg2P2 | SCAN | single point on PBEsol structure

abc: 4.8557 4.8557 5.8092
angles: 114.70 114.70 90.00
With the nearest neighbours (Å) after each atom.
Element x y z (fractional)
P 0.2500 0.7500 0.5000  4 Hg 2.63
P 0.7500 0.2500 0.5000  4 Hg 2.63
Hg 0.3579 0.3579 0.7158  4 P 2.63, 1 Hg 2.66
Hg 0.6421 0.6421 0.2842  4 P 2.63, 1 Hg 2.66
La 0.0000 0.0000 0.0000  10 Hg 3.35-3.68, 8 P 3.37

Results
SG	I4/mmm (139)
energy of formation from the pure elements	-0.32	eV per atom

***

# 7
Cd2Cu2Hg | SCAN | single point on PBEsol structure

abc: 3.4067 7.0311 7.0311
angles: 90.00 90.00 90.00
With the nearest neighbours (Å) after each atom.
Element x y z (fractional)
Hg 0.0000 0.0000 0.0000  4 Cu 2.75
Hg 0.0000 0.5000 0.5000  4 Cu 2.75
Cu 0.0000 0.3693 0.8693  1 Cu 2.60, 6 Cd 2.67-2.69, 2 Hg 2.75
Cu 0.0000 0.8693 0.6307  1 Cu 2.60, 6 Cd 2.67-2.69, 2 Hg 2.75
Cu 0.0000 0.6307 0.1307  1 Cu 2.60, 6 Cd 2.67-2.69, 2 Hg 2.75
Cu 0.0000 0.1307 0.3693  1 Cu 2.60, 6 Cd 2.67-2.69, 2 Hg 2.75
Cd 0.5000 0.1630 0.6630  6 Cu 2.67-2.69
Cd 0.5000 0.6630 0.8370  6 Cu 2.67-2.69
Cd 0.5000 0.8370 0.3370  6 Cu 2.67-2.69
Cd 0.5000 0.3370 0.1630  6 Cu 2.67-2.69

Results
SG	P4/mbm (127)
energy of formation from the pure elements	0.07	eV per atom

***

# 8
CrPtW2 | SCAN | single point on PBEsol structure

abc: 2.6710 3.9369 5.5033
angles: 90.00 90.00 90.00
With the nearest neighbours (Å) after each atom.
Element x y z (fractional)
Cr 0.5000 0.5000 0.0000  2 Cr 2.67, 8 W 2.72, 2 Pt 2.75
Pt 0.5000 0.5000 0.5000  2 Pt 2.67, 2 Cr 2.75, 8 W 2.78
W 0.0000 0.0000 0.7607  4 W 2.63-2.87, 4 Cr 2.72, 4 Pt 2.78
W 0.0000 0.0000 0.2393  4 W 2.63-2.87, 4 Cr 2.72, 4 Pt 2.78

Results
SG	Pmmm (47)
energy of formation from the pure elements	0.04	eV per atom

***

# 9
Co2SiTe | SCAN | single point on PBEsol structure

abc: 3.3291 3.3291 4.9250
angles: 90.00 90.00 90.00
With the nearest neighbours (Å) after each atom.
Element x y z (fractional)
Co 0.0000 0.0000 0.9675  1 Si 2.26, 4 Te 2.49
Co 0.5000 0.5000 0.3041  4 Si 2.43, 2 Te 2.45-2.48
Si 0.0000 0.0000 0.4269  5 Co 2.26-2.43
Te 0.5000 0.5000 0.8015  6 Co 2.45-2.49

Results
SG	P4mm (99)
formation energy (no corrections)	119	meV/atom

***

# 10
TlTc3Bi | SCAN | single point on PBEsol structure

abc: 4.9378 4.9378 4.9378
angles: 90.00 90.00 90.00
With the nearest neighbours (Å) after each atom.
Element x y z (fractional)
Tl 0.5000 0.5000 0.5000  12 Tc 3.49
Bi 0.0000 0.0000 0.0000  6 Tc 2.47
Tc 0.0000 0.5000 0.0000  2 Bi 2.47
Tc 0.0000 0.0000 0.5000  2 Bi 2.47
Tc 0.5000 0.0000 0.0000  2 Bi 2.47

Results
SG	Pm-3m (221)
energy of formation from the pure elements	2.23	eV per atom

***

# 11
ScInHg2 | SCAN | single point on PBEsol structure

abc: 3.4064 3.4064 9.2886
angles: 79.43 79.43 60.00
With the nearest neighbours (Å) after each atom.
Element x y z (fractional)
Hg 0.2538 0.2538 0.2386  3 Sc 2.93, 3 In 3.08
Hg 0.7462 0.7462 0.7614  3 Sc 2.93, 3 In 3.08
In 0.5000 0.5000 0.5000  6 Hg 3.08, 6 In 3.41
Sc 0.0000 0.0000 0.0000  6 Hg 2.93

Results
SG	R-3m (166)
energy of formation from the pure elements	-0.23	eV per atom

***

# 12
LaIn4Si | SCAN | single point on PBEsol structure

abc: 5.9637 5.9637 5.9637
angles: 60.00 60.00 60.00
With the nearest neighbours (Å) after each atom.
Element x y z (fractional)
In 0.3744 0.3744 0.3744  6 In 2.97-3.00
In 0.3744 0.3744 0.8767  6 In 2.97-3.00
In 0.8767 0.3744 0.3744  6 In 2.97-3.00
In 0.3744 0.8767 0.3744  6 In 2.97-3.00
La 0.7500 0.7500 0.7500  12 In 3.50, 4 Si 3.65
Si 0.0000 0.0000 0.0000  12 In 3.50, 4 La 3.65

Results
SG	F-43m (216)
formation energy (no corrections)	31	meV/atom

***

# 13
LiEr2Ru | SCAN | single point on PBEsol structure

abc: 4.7874 4.7874 4.7874
angles: 60.00 60.00 60.00
With the nearest neighbours (Å) after each atom.
Element x y z (fractional)
Ru 0.0000 0.0000 0.0000  8 Er 2.93
Er 0.2500 0.2500 0.2500  4 Ru 2.93, 4 Li 2.93
Er 0.7500 0.7500 0.7500  4 Li 2.93, 4 Ru 2.93
Li 0.5000 0.5000 0.5000  8 Er 2.93

Results
SG	Fm-3m (225)
energy of formation from the pure elements	-0.39	eV per atom

***

# 14
InSi2Se | SCAN | single point on PBEsol structure

abc: 3.3342 4.7697 4.7697
angles: 90.00 90.00 90.00
With the nearest neighbours (Å) after each atom.
Element x y z (fractional)
In 0.5000 0.5000 0.5000  8 Si 2.91
Se 0.5000 0.0000 0.0000  8 Si 2.91
Si 0.0000 0.0000 0.5000  4 Se 2.91, 4 In 2.91
Si 0.0000 0.5000 0.0000  4 In 2.91, 4 Se 2.91

Results
SG	P4/mmm (123)
formation energy (no corrections)	624	meV/atom

***

# 15
FeRuPt2 | SCAN | single point on PBEsol structure

abc: 2.6912 4.6504 4.6601
angles: 99.80 106.78 90.00
With the nearest neighbours (Å) after each atom.
Element x y z (fractional)
Fe 0.0000 0.5000 0.0000  6 Pt 2.68-2.70, 4 Ru 2.69, 2 Fe 2.69
Pt 0.2508 0.2507 0.5016  3 Fe 2.68-2.70, 6 Pt 2.68-2.69, 3 Ru 2.69
Pt 0.7492 0.7493 0.4984  3 Fe 2.68-2.70, 6 Pt 2.68-2.69, 3 Ru 2.69
Ru 0.5000 0.0000 0.0000  4 Fe 2.69, 6 Pt 2.69, 2 Ru 2.69

Results
SG	C2/m (12)
energy of formation from the pure elements	-0.06	eV per atom

***

# 16
LiLaCr2 | SCAN | single point on PBEsol structure

abc: 4.7158 4.7158 4.7158
angles: 60.00 60.00 60.00
With the nearest neighbours (Å) after each atom.
Element x y z (fractional)
Cr 0.0000 0.0000 0.0000  4 Li 2.89, 4 Cr 2.89
Cr 0.7500 0.7500 0.7500  4 La 2.89, 4 Cr 2.89
La 0.5000 0.5000 0.5000  4 Cr 2.89, 4 Li 2.89
Li 0.2500 0.2500 0.2500  4 La 2.89, 4 Cr 2.89

Results
SG	F-43m (216)
energy of formation from the pure elements	0.20	eV per atom

***

# 17
TaCoBr | SCAN | single point on PBEsol structure

abc: 2.8927 4.2316 4.2316
angles: 120.00 90.00 90.00
With the nearest neighbours (Å) after each atom.
Element x y z (fractional)
Co 0.8340 0.3333 0.6667  3 Br 2.44
Br 0.8332 0.0000 0.0000  3 Co 2.44
Ta 0.3328 0.6667 0.3333  6 Co 2.84, 6 Br 2.84, 2 Ta 2.89

Results
SG	P-6m2 (187)
formation energy (no corrections)	831	meV/atom

***

# 18
CsBiMoO2 | SCAN | single point on PBEsol structure

abc: 4.2354 4.2354 5.4338
angles: 90.00 90.00 90.00
With the nearest neighbours (Å) after each atom.
Element x y z (fractional)
Cs 0.5000 0.5000 0.5000  4 Bi 2.99
Mo 0.0000 0.0000 0.0000  4 O 2.12
Bi 0.0000 0.0000 0.5000  2 Mo 2.72, 4 Cs 2.99
O 0.0000 0.5000 0.0000  2 Mo 2.12
O 0.5000 0.0000 0.0000  2 Mo 2.12

Results
SG	P4/mmm (123)
formation energy (no corrections)	-399	meV/atom

***

# 19
MgFe4W | SCAN | single point on PBEsol structure

abc: 4.6955 4.6955 4.6955
angles: 60.00 60.00 60.00
With the nearest neighbours (Å) after each atom.
Element x y z (fractional)
Fe 0.6252 0.6252 0.1245  6 Fe 2.34-2.35
Fe 0.1245 0.6252 0.6252  6 Fe 2.34-2.35
Fe 0.6252 0.1245 0.6252  6 Fe 2.34-2.35
Fe 0.6252 0.6252 0.6252  6 Fe 2.34-2.35
Mg 0.2500 0.2500 0.2500  12 Fe 2.75, 4 W 2.88
W 0.0000 0.0000 0.0000  12 Fe 2.75, 4 Mg 2.88

Results
SG	F-43m (216)
energy of formation from the pure elements	0.12	eV per atom

***

# 20
TlTcSb | SCAN | single point on PBEsol structure

abc: 3.5008 4.5511 4.5511
angles: 120.00 90.00 90.00
With the nearest neighbours (Å) after each atom.
Element x y z (fractional)
Sb 0.0000 0.0000 0.0000  3 Tc 2.63
Tc 0.0000 0.6667 0.3333  3 Sb 2.63
Tl 0.5000 0.3333 0.6667  6 Tc 3.16, 6 Sb 3.16, 2 Tl 3.50

Results
SG	P-6m2 (187)
formation energy (no corrections)	679	meV/atom

***

no.,spin magnetization (μB per cell),mass density (g/cm³),E_tot (eV per cell)
1,0.00,7.39,-294.35
2,0.32,5.60,-89.72
3,0.00,5.35,-100.75
4,0.00,6.09,-97.90
5,0.00,15.91,-216.51
6,0.00,9.05,-201.82
7,0.00,10.89,-318.05
8,2.00,17.64,-227.78
9,0.00,8.32,-81.40
10,5.16,9.76,-244.99
11,0.00,10.21,-184.87
12,0.00,6.93,-186.48
13,0.00,9.47,-139.46
14,0.00,5.47,-71.00
15,3.98,16.53,-193.58
16,0.43,5.59,-81.47
17,0.95,11.84,-100.85
18,0.00,8.00,-165.73
19,6.98,9.79,-146.45
20,0.00,11.22,-142.64